Record 1
Compound: CaGa2MoO6
Source: Alexandria via LeMat-Bulk
Functional: PBE with a Hubbard U
Structure: optimized geometry

Cell: 5.4899 6.8845 6.8845 Å, 89.54 83.78 83.78°
Last column: magnetic moment on the atom in μB.
Sites, in units of the cell vectors:
Ca 0.2500 0.9101 0.0899  0.00
Ca 0.7500 0.0899 0.9101  0.00
Ga 0.2018 0.7792 0.5965  0.02
Ga 0.2982 0.4035 0.2208  0.02
Ga 0.7982 0.2208 0.4035  0.02
Ga 0.7018 0.5965 0.7792  0.02
Mo 0.2500 0.2779 0.7221  1.89
Mo 0.7500 0.7221 0.2779  1.89
O 0.1455 0.9908 0.7676  0.01
O 0.3545 0.2324 0.0092  0.01
O 0.8545 0.0092 0.2324  0.01
O 0.6455 0.7676 0.9908  0.01
O 0.4081 0.8334 0.3783  -0.01
O 0.0919 0.6217 0.1666  -0.01
O 0.5919 0.1666 0.6217  -0.01
O 0.9081 0.3783 0.8334  -0.01
O 0.8779 0.7149 0.5636  0.01
O 0.6221 0.4364 0.2851  0.01
O 0.1221 0.2851 0.4364  0.01
O 0.3779 0.5636 0.7149  0.01

Final energy   -0.2406 hartree per atom

=====

Record 2
Compound: NaPaMnO4
Source: Alexandria via LeMat-Bulk
Functional: PBE with a Hubbard U
Structure: optimized geometry

Cell: 6.5331 6.6966 7.1441 Å, 122.24 90.00 119.20°
Last column: magnetic moment on the atom in μB.
Sites, in units of the cell vectors:
Na 0.8591 0.7182 0.1091  0.00
Na 0.1409 0.2818 0.8909  0.00
Pa 0.5000 0.0000 0.5000  0.05
Pa 0.5000 0.0000 0.0000  0.05
Mn 0.5000 0.5000 0.5000  4.62
Mn 0.0000 0.5000 0.5000  4.62
O 0.7267 0.4535 0.6876  0.03
O 0.2915 0.9996 0.2498  0.03
O 0.7081 0.9996 0.2498  0.03
O 0.7267 0.4535 0.2659  0.03
O 0.2733 0.5465 0.7341  0.03
O 0.7085 0.0004 0.7502  0.03
O 0.2919 0.0004 0.7502  0.03
O 0.2733 0.5465 0.3124  0.03

Final energy   -0.2968 hartree per atom

=====

- Look up the final energy of the first one.
  -0.2406 hartree per atom

=====

- Among the records above, which one has the highest final energy?
  CaGa2MoO6

=====

- Look up the final energy of the first one.
  -0.2406 hartree per atom

=====

- The highest final energy belongs to which entry?
  CaGa2MoO6